Ti3Cu2TeP6O24 | PBEsol | optimized geometry

Lattice parameters (Å, degrees): 8.6272 8.6272 21.3194 90.00 90.00 120.00
Space group R3 (No. 146, hexagonal axes)
One atom of each set of equivalent atoms:
Ti 0.0000 0.0000 0.0000 [3 per cell]
Ti 0.0000 0.0000 0.1346 [3 per cell]
Ti 0.0000 0.0000 0.7577 [3 per cell]
Cu 0.0000 0.0000 0.4933 [3 per cell]
Cu 0.0000 0.0000 0.6216 [3 per cell]
Te 0.0000 0.0000 0.3253 [3 per cell]
P 0.0322 0.3650 0.4153 [9 per cell]
P 0.1583 0.3882 0.9186 [9 per cell]
O 0.0153 0.2982 0.5795 [9 per cell]
O 0.0233 0.1964 0.8041 [9 per cell]
O 0.0733 0.8486 0.9495 [9 per cell]
O 0.1608 0.4683 0.0934 [9 per cell]
O 0.1748 0.4641 0.3631 [9 per cell]
O 0.1889 0.4738 0.7349 [9 per cell]
O 0.1998 0.7362 0.8575 [9 per cell]
O 0.2105 0.1002 0.5630 [9 per cell]

Values from the calculation:
Its spin magnetization is 6.88 Bohr magnetons per cell. The final energy is -0.263 hartree per atom.

---

TiAuCO2 | PBEsol | optimized geometry

Lattice parameters (Å, degrees): 3.637 3.637 5.882 90.00 90.00 90.00
Space group P4/mmm (No. 123)
One atom of each set of equivalent atoms:
Ti 0.000 0.000 0.000 [1 per cell]
Au 0.000 0.000 0.500 [1 per cell]
C 0.500 0.500 0.000 [1 per cell]
O 0.000 0.500 0.500 [2 per cell]

Values from the calculation:
Its spin magnetization is 0.80 Bohr magnetons per cell. The final energy is -0.189 hartree per atom.

---

K2CoOs | PBEsol | optimized geometry

Lattice parameters (Å, degrees): 2.704 3.754 9.984 90.00 90.35 90.00
Space group Pm (No. 6)
One atom of each set of equivalent atoms:
K 0.000 0.000 0.000 [1 per cell]
K 0.473 0.500 0.565 [1 per cell]
Co 0.003 0.000 0.322 [1 per cell]
Os 0.506 0.500 0.250 [1 per cell]

Values from the calculation:
For the formation energy, the calculation gives 0.77 eV/atom. Its spin magnetization is 0.35 Bohr magnetons per cell.

---

Al2OsSe | PBEsol | optimized geometry

Lattice parameters (Å, degrees): 3.147 4.200 4.610 90.00 90.00 90.00
Space group Pmmm (No. 47)
One atom of each set of equivalent atoms:
Al 0.000 0.000 0.000 [1 per cell]
Al 0.500 0.000 0.500 [1 per cell]
Os 0.000 0.500 0.500 [1 per cell]
Se 0.500 0.500 0.000 [1 per cell]

Values from the calculation:
Its spin magnetization is 0.00 Bohr magnetons per cell. The final energy is -0.215 hartree per atom.

---

PuAl3 | PBEsol | optimized geometry

Lattice parameters (Å, degrees): 5.9999 5.9999 21.3532 90.00 90.00 120.00
Space group R-3m (No. 166, hexagonal axes)
One atom of each set of equivalent atoms:
Pu 0.0000 0.0000 0.0000 [3 per cell]
Pu 0.0000 0.0000 0.2219 [6 per cell]
Al 0.0000 0.5000 0.0000 [9 per cell]
Al 0.0155 0.5077 0.2215 [18 per cell]

Values from the calculation:
For the formation energy, the calculation gives -0.18 eV/atom. Its spin magnetization is 16.16 Bohr magnetons per cell.

---

MnTc2Ni | PBEsol | optimized geometry

Lattice parameters (Å, degrees): 2.580 3.655 5.159 90.00 90.00 90.00
Space group Pmmm (No. 47)
One atom of each set of equivalent atoms:
Mn 0.000 0.000 0.000 [1 per cell]
Tc 0.500 0.500 0.242 [2 per cell]
Ni 0.000 0.000 0.500 [1 per cell]

Values from the calculation:
For the formation energy, the calculation gives 0.04 eV/atom. Its spin magnetization is 0.01 Bohr magnetons per cell. The polymorph energy (0 for the lowest one) is 0 meV/atom.

---

TaBe2IrF | PBEsol | optimized geometry

Lattice parameters (Å, degrees): 4.155 4.155 4.837 90.00 90.00 90.00
Space group P4/mmm (No. 123)
One atom of each set of equivalent atoms:
Ta 0.000 0.000 0.000 [1 per cell]
Be 0.000 0.500 0.500 [2 per cell]
Ir 0.000 0.000 0.500 [1 per cell]
F 0.500 0.500 0.000 [1 per cell]

Values from the calculation:
Its spin magnetization is 0.00 Bohr magnetons per cell. The final energy is -0.224 hartree per atom.

---

Li4TlAg | PBEsol | optimized geometry

Lattice parameters (Å, degrees): 7.293 7.293 7.293 90.00 90.00 90.00
Space group F-43m (No. 216)
One atom of each set of equivalent atoms:
Li 0.125 0.125 0.125 [16 per cell]
Tl 0.000 0.000 0.500 [4 per cell]
Ag 0.250 0.250 0.750 [4 per cell]

Values from the calculation:
For the formation energy, the calculation gives -0.06 eV/atom. Its spin magnetization is 1.80 Bohr magnetons per cell.

---

Tc3BiTe | PBEsol | optimized geometry

Lattice parameters (Å, degrees): 4.820 4.820 4.820 90.00 90.00 90.00
Space group Pm-3m (No. 221)
One atom of each set of equivalent atoms:
Tc 0.000 0.000 0.500 [3 per cell]
Bi 0.500 0.500 0.500 [1 per cell]
Te 0.000 0.000 0.000 [1 per cell]

Values from the calculation:
Its spin magnetization is 2.08 Bohr magnetons per cell. The final energy is -0.245 hartree per atom.

---

Pm2CdGe | PBEsol | optimized geometry

Lattice parameters (Å, degrees): 7.320 7.320 7.320 90.00 90.00 90.00
Space group Fm-3m (No. 225)
One atom of each set of equivalent atoms:
Pm 0.250 0.250 0.250 [8 per cell]
Cd 0.000 0.000 0.000 [4 per cell]
Ge 0.000 0.000 0.500 [4 per cell]

Values from the calculation:
For the formation energy, the calculation gives -0.53 eV/atom. Its spin magnetization is 0.00 Bohr magnetons per cell.

---

MgZnNi2 | PBEsol | optimized geometry

Lattice parameters (Å, degrees): 2.832 4.132 8.541 90.00 90.00 90.00
Space group Imm2 (No. 44)
One atom of each set of equivalent atoms:
Mg 0.000 0.000 0.000 [2 per cell]
Zn 0.000 0.500 0.228 [2 per cell]
Ni 0.000 0.000 0.491 [2 per cell]
Ni 0.000 0.500 0.758 [2 per cell]

Values from the calculation:
For the formation energy, the calculation gives -0.13 eV/atom. Its spin magnetization is 0.00 Bohr magnetons per cell.

---

LaSb2MoI | PBEsol | optimized geometry

Lattice parameters (Å, degrees): 5.132 5.132 5.585 90.00 90.00 90.00
Space group P4/mmm (No. 123)
One atom of each set of equivalent atoms:
La 0.000 0.000 0.000 [1 per cell]
Sb 0.000 0.500 0.500 [2 per cell]
Mo 0.500 0.500 0.500 [1 per cell]
I 0.500 0.500 0.000 [1 per cell]

Values from the calculation:
Its spin magnetization is 0.02 Bohr magnetons per cell. The final energy is -0.204 hartree per atom.

---

Ag2AsP | PBEsol | optimized geometry

Lattice parameters (Å, degrees): 8.139 3.274 5.298 90.00 103.83 90.00
Space group C2/m (No. 12)
One atom of each set of equivalent atoms:
Ag 0.246 0.000 0.232 [4 per cell]
As 0.000 0.000 0.500 [2 per cell]
P 0.000 0.500 0.000 [2 per cell]

Values from the calculation:
For the formation energy, the calculation gives 0.28 eV/atom. Its spin magnetization is 0.00 Bohr magnetons per cell. The polymorph energy (0 for the lowest one) is 0 meV/atom.

---

FeTcB2Ir | PBEsol | optimized geometry

Lattice parameters (Å, degrees): 3.959 3.959 4.758 90.00 90.00 90.00
Space group P4/mmm (No. 123)
One atom of each set of equivalent atoms:
Fe 0.000 0.000 0.000 [1 per cell]
Tc 0.500 0.500 0.500 [1 per cell]
B 0.000 0.500 0.500 [2 per cell]
Ir 0.500 0.500 0.000 [1 per cell]

Values from the calculation:
For the formation energy, the calculation gives 1.54 eV/atom. Its spin magnetization is 3.78 Bohr magnetons per cell.

---

CuSb2Cl | PBEsol | optimized geometry

Lattice parameters (Å, degrees): 3.271 4.839 11.055 90.00 90.00 90.00
Space group Immm (No. 71)
One atom of each set of equivalent atoms:
Cu 0.000 0.000 0.000 [2 per cell]
Sb 0.000 0.500 0.314 [4 per cell]
Cl 0.000 0.000 0.500 [2 per cell]

Values from the calculation:
Its spin magnetization is 0.00 Bohr magnetons per cell. The final energy is -0.140 hartree per atom.

---

ZrSiW2 | PBEsol | optimized geometry

Lattice parameters (Å, degrees): 2.967 2.967 7.453 90.00 90.00 90.00
Space group P4/mmm (No. 123)
One atom of each set of equivalent atoms:
Zr 0.000 0.000 0.000 [1 per cell]
Si 0.000 0.000 0.500 [1 per cell]
W 0.500 0.500 0.297 [2 per cell]

Values from the calculation:
Its spin magnetization is 0.00 Bohr magnetons per cell. The final energy is -0.382 hartree per atom.

---

Sr3ReTe | PBEsol | optimized geometry

Lattice parameters (Å, degrees): 5.575 5.575 5.575 90.00 90.00 90.00
Space group Pm-3m (No. 221)
One atom of each set of equivalent atoms:
Sr 0.000 0.000 0.500 [3 per cell]
Re 0.000 0.000 0.000 [1 per cell]
Te 0.500 0.500 0.500 [1 per cell]

Values from the calculation:
Its spin magnetization is 0.00 Bohr magnetons per cell. The final energy is -0.154 hartree per atom.

---

Li2CoAs | PBEsol | optimized geometry

Lattice parameters (Å, degrees): 2.896 3.147 5.991 90.00 90.00 90.00
Space group Pmm2 (No. 25)
One atom of each set of equivalent atoms:
Li 0.000 0.000 0.000 [1 per cell]
Li 0.500 0.500 0.306 [1 per cell]
Co 0.500 0.500 0.744 [1 per cell]
As 0.000 0.000 0.573 [1 per cell]

Values from the calculation:
For the formation energy, the calculation gives -0.21 eV/atom. Its spin magnetization is 0.00 Bohr magnetons per cell.

---

GeBiSe2 | PBEsol | optimized geometry

Lattice parameters (Å, degrees): 3.9204 3.9204 26.3754 90.00 90.00 120.00
Space group R-3m (No. 166, hexagonal axes)
One atom of each set of equivalent atoms:
Ge 0.0000 0.0000 0.0000 [3 per cell]
Bi 0.0000 0.0000 0.5000 [3 per cell]
Se 0.0000 0.0000 0.0982 [6 per cell]

Values from the calculation:
Its spin magnetization is 0.00 Bohr magnetons per cell. The polymorph energy (0 for the lowest one) is 127 meV/atom.

---

Zr2CrCl | PBEsol | optimized geometry

Lattice parameters (Å, degrees): 3.121 3.328 14.326 90.00 90.00 90.00
Space group Imm2 (No. 44)
One atom of each set of equivalent atoms:
Zr 0.000 0.000 0.000 [2 per cell]
Zr 0.000 0.500 0.281 [2 per cell]
Cr 0.000 0.000 0.412 [2 per cell]
Cl 0.000 0.500 0.664 [2 per cell]

Values from the calculation:
Its spin magnetization is 0.00 Bohr magnetons per cell. The polymorph energy (0 for the lowest one) is 278 meV/atom.

---

Mn2SiI | PBEsol | optimized geometry

Lattice parameters (Å, degrees): 5.970 5.970 5.970 90.00 90.00 90.00
Space group Fm-3m (No. 225)
One atom of each set of equivalent atoms:
Mn 0.250 0.250 0.250 [8 per cell]
Si 0.000 0.000 0.000 [4 per cell]
I 0.000 0.000 0.500 [4 per cell]

Values from the calculation:
Its spin magnetization is 0.00 Bohr magnetons per cell. The final energy is -0.227 hartree per atom.

---

CuSnSb2Te | PBEsol | optimized geometry

Lattice parameters (Å, degrees): 5.535 5.535 5.599 90.00 90.00 90.00
Space group P4/mmm (No. 123)
One atom of each set of equivalent atoms:
Cu 0.000 0.000 0.000 [1 per cell]
Sn 0.500 0.500 0.500 [1 per cell]
Sb 0.000 0.500 0.500 [2 per cell]
Te 0.500 0.500 0.000 [1 per cell]

Values from the calculation:
Its spin magnetization is 0.00 Bohr magnetons per cell. The final energy is -0.113 hartree per atom.

---

MgTcSb2 | PBEsol | optimized geometry

Lattice parameters (Å, degrees): 4.105 4.105 9.334 90.00 90.00 90.00
Space group I-4m2 (No. 119)
One atom of each set of equivalent atoms:
Mg 0.000 0.000 0.000 [2 per cell]
Tc 0.000 0.500 0.750 [2 per cell]
Sb 0.000 0.000 0.500 [2 per cell]
Sb 0.000 0.500 0.250 [2 per cell]

Values from the calculation:
Its spin magnetization is 1.60 Bohr magnetons per cell. The polymorph energy (0 for the lowest one) is 357 meV/atom.

---

CsBaAg2F | PBEsol | optimized geometry

Lattice parameters (Å, degrees): 5.846 5.846 7.877 90.00 90.00 90.00
Space group P4/mmm (No. 123)
One atom of each set of equivalent atoms:
Cs 0.000 0.000 0.000 [1 per cell]
Ba 0.000 0.000 0.500 [1 per cell]
Ag 0.000 0.500 0.000 [2 per cell]
F 0.500 0.500 0.500 [1 per cell]

Values from the calculation:
Its spin magnetization is 0.26 Bohr magnetons per cell. The final energy is -0.066 hartree per atom.

---

CaIr3Os | PBEsol | optimized geometry

Lattice parameters (Å, degrees): 4.736 4.736 4.736 90.00 90.00 90.00
Space group Pm-3m (No. 221)
One atom of each set of equivalent atoms:
Ca 0.000 0.000 0.000 [1 per cell]
Ir 0.000 0.500 0.500 [3 per cell]
Os 0.500 0.500 0.500 [1 per cell]

Values from the calculation:
For the formation energy, the calculation gives 1.11 eV/atom. Its spin magnetization is 0.00 Bohr magnetons per cell.

---

AlH2IrOs | PBEsol | optimized geometry

Lattice parameters (Å, degrees): 3.432 3.432 4.801 90.00 90.00 90.00
Space group P4/mmm (No. 123)
One atom of each set of equivalent atoms:
Al 0.000 0.000 0.000 [1 per cell]
H 0.000 0.500 0.500 [2 per cell]
Ir 0.500 0.500 0.000 [1 per cell]
Os 0.000 0.000 0.500 [1 per cell]

Values from the calculation:
Its spin magnetization is 0.00 Bohr magnetons per cell. The final energy is -0.212 hartree per atom.

---

HgPOsN2 | PBEsol | optimized geometry

Lattice parameters (Å, degrees): 3.746 3.746 5.730 90.00 90.00 90.00
Space group P4/mmm (No. 123)
One atom of each set of equivalent atoms:
Hg 0.000 0.000 0.000 [1 per cell]
P 0.500 0.500 0.000 [1 per cell]
Os 0.000 0.000 0.500 [1 per cell]
N 0.000 0.500 0.500 [2 per cell]

Values from the calculation:
Its spin magnetization is 1.00 Bohr magnetons per cell. The final energy is -0.229 hartree per atom.